# 1
FeTcHg2 | PBE | relaxed

Unit cell a=3.051 b=4.791 c=9.654 alpha=90.00 beta=90.00 gamma=90.00
Space group Imm2 (No. 44)
Symmetry-distinct sites (fractional):
Fe  0.000  0.000  0.000 [2 per cell]
Tc  0.000  0.500  0.305 [2 per cell]
Hg  0.000  0.000  0.537 [2 per cell]
Hg  0.000  0.500  0.759 [2 per cell]

Properties
VASP energy = -34.43 eV for the cell shown
relative energy among the computed polymorphs = 217 meV per atom
crystal system = orthorhombic
E_form = 0.554 eV per atom



# 2
CsCd5In2 | PBE | relaxed

Unit cell a=4.875 b=8.265 c=11.673 alpha=90.00 beta=90.00 gamma=90.00
Space group Immm (No. 71)
Symmetry-distinct sites (fractional):
Cs  0.000  0.000  0.000 [2 per cell]
Cd  0.000  0.183  0.367 [8 per cell]
Cd  0.000  0.500  0.000 [2 per cell]
In  0.000  0.500  0.250 [4 per cell]

Properties
VASP energy = -22.45 eV for the cell shown
crystal system = orthorhombic
E_form = -0.040 eV per atom



# 3
CaYSeN2 | PBE | relaxed

Unit cell a=4.286 b=4.286 c=5.419 alpha=90.00 beta=90.00 gamma=90.00
Space group P4/mmm (No. 123)
Symmetry-distinct sites (fractional):
Ca  0.000  0.000  0.000 [1 per cell]
Y  0.500  0.500  0.500 [1 per cell]
Se  0.000  0.000  0.500 [1 per cell]
N  0.000  0.500  0.000 [2 per cell]

Properties
VASP energy = -26.63 eV for the cell shown
formation energy without anion corrections = 0.394 eV per atom
relative energy among the computed polymorphs = 551 meV per atom
crystal system = tetragonal



# 4
YSi2AsS | PBE | relaxed

Unit cell a=5.527 b=5.527 c=4.984 alpha=90.00 beta=90.00 gamma=90.00
Space group P4/mmm (No. 123)
Symmetry-distinct sites (fractional):
Y  0.000  0.000  0.000 [1 per cell]
Si  0.000  0.500  0.000 [2 per cell]
As  0.500  0.500  0.500 [1 per cell]
S  0.000  0.000  0.500 [1 per cell]

Properties
VASP energy = -21.61 eV for the cell shown
formation energy without anion corrections = 0.896 eV per atom
crystal system = tetragonal



# 5
LiCoP2 | PBE | relaxed

Unit cell a=5.763 b=5.763 c=5.763 alpha=90.00 beta=90.00 gamma=90.00
Space group Fm-3m (No. 225)
Symmetry-distinct sites (fractional):
Li  0.000  0.000  0.000 [4 per cell]
Co  0.000  0.000  0.500 [4 per cell]
P  0.250  0.250  0.250 [8 per cell]

Properties
VASP energy = -82.02 eV for the cell shown
relative energy among the computed polymorphs = 229 meV per atom
crystal system = cubic
E_form = -0.166 eV per atom



# 6
La2GaHRu | PBE | relaxed

Unit cell a=5.734 b=5.734 c=4.512 alpha=90.00 beta=90.00 gamma=90.00
Space group P4/mmm (No. 123)
Symmetry-distinct sites (fractional):
La  0.000  0.500  0.000 [2 per cell]
Ga  0.000  0.000  0.000 [1 per cell]
H  0.500  0.500  0.500 [1 per cell]
Ru  0.000  0.000  0.500 [1 per cell]

Properties
VASP energy = -22.67 eV for the cell shown
relative energy among the computed polymorphs = 1046 meV per atom
crystal system = tetragonal